This record from Alexandria describes a relaxed HgTe3P crystal. The functional is GGA-PBE.

Energy above the most stable polymorph in this dataset in eV per formula unit: 0.00
SG: Pm-3m, No. 221
Mass density in g cm⁻³: 6.822
Fermi-level density of states in states/eV/atom: 0.970
E_form (uncorrected) in kJ/mol of formula units: 201
Total energy in eV per atom: -2.610

Unit cell a=5.3078 b=5.3078 c=5.3078 alpha=90.00 beta=90.00 gamma=90.00
Fractional positions:
1 Hg 0.0000 0.0000 0.0000
2 Te 0.0000 0.5000 0.5000
3 Te 0.5000 0.0000 0.5000
4 Te 0.5000 0.5000 0.0000
5 P 0.5000 0.5000 0.5000